Record 1
Computed, not measured: crystalline ScReAg2Ru at its relaxed geometry at the PBE level of DFT.

Properties
SG = P4/mmm, No. 123
uncorrected energy = -0.373 Ry/atom

Cell: 5.039 5.039 4.694 Å, 90.00 90.00 90.00°
Atoms (fractional coordinates):
Sc  0.000  0.000  0.000
Re  0.000  0.000  0.500
Ag  0.000  0.500  0.500
Ag  0.500  0.000  0.500
Ru  0.500  0.500  0.000

Record 2
Computed, not measured: crystalline ReAg2RuW at its relaxed geometry at the PBE level of DFT.

Properties
SG = P4/mmm, No. 123
uncorrected energy = -0.429 Ry/atom

Cell: 4.985 4.985 4.617 Å, 90.00 90.00 90.00°
Atoms (fractional coordinates):
Re  0.000  0.000  0.000
Ag  0.000  0.500  0.000
Ag  0.500  0.000  0.000
Ru  0.500  0.500  0.500
W  0.000  0.000  0.500

Record 3
Computed, not measured: crystalline ReAgRu2W at its relaxed geometry at the PBE level of DFT.

Properties
SG = P4/mmm, No. 123
uncorrected energy = -0.552 Ry/atom

Cell: 4.688 4.688 4.770 Å, 90.00 90.00 90.00°
Atoms (fractional coordinates):
Re  0.000  0.000  0.000
Ag  0.500  0.500  0.000
Ru  0.000  0.500  0.500
Ru  0.500  0.000  0.500
W  0.000  0.000  0.500

Record 4
Computed, not measured: crystalline ReAgS2 at its relaxed geometry at the PBE level of DFT.

Properties
SG = R-3m, No. 166
raw formation energy = -0.059 eV per atom

Cell: 8.272 8.272 8.272 Å, 22.33 22.33 22.33°
Atoms (fractional coordinates):
Re  0.000  0.000  0.000
Ag  0.500  0.500  0.500
S  0.398  0.398  0.398
S  0.602  0.602  0.602

Record 5
Computed, not measured: crystalline ReAgS2 at its relaxed geometry at the PBE level of DFT.

Properties
SG = I-42d, No. 122
raw formation energy = 0.098 eV per atom

Cell: 6.746 6.746 6.746 Å, 131.16 131.16 71.55°
Atoms (fractional coordinates):
Re  0.000  0.000  0.000
Re  0.750  0.250  0.500
Ag  0.250  0.750  0.500
Ag  0.500  0.500  0.000
S  0.078  0.625  0.953
S  0.375  0.328  0.453
S  0.672  0.125  0.047
S  0.875  0.922  0.547

Record 6
Computed, not measured: crystalline Re2AgS at its relaxed geometry at the PBE level of DFT.

Properties
SG = I-42d, No. 122
raw formation energy = 0.955 eV per atom

Cell: 9.493 9.493 9.493 Å, 156.23 156.23 33.87°
Atoms (fractional coordinates):
Re  0.057  0.625  0.932
Re  0.375  0.307  0.432
Re  0.693  0.125  0.068
Re  0.875  0.943  0.568
Ag  0.250  0.750  0.500
Ag  0.500  0.500  0.000
S  0.000  0.000  0.000
S  0.750  0.250  0.500

Record 7
Computed, not measured: crystalline Re3AgS at its relaxed geometry at the PBE level of DFT.

Properties
SG = Pm-3m, No. 221
raw formation energy = 1.065 eV per atom

Cell: 4.366 4.366 4.366 Å, 90.00 90.00 90.00°
Atoms (fractional coordinates):
Re  0.000  0.000  0.500
Re  0.000  0.500  0.000
Re  0.500  0.000  0.000
Ag  0.500  0.500  0.500
S  0.000  0.000  0.000

Record 8
Computed, not measured: crystalline ReAg3S at its relaxed geometry at the PBE level of DFT.

Properties
SG = Pm-3m, No. 221
raw formation energy = 1.878 eV per atom

Cell: 5.045 5.045 5.045 Å, 90.00 90.00 90.00°
Atoms (fractional coordinates):
Re  0.000  0.000  0.000
Ag  0.000  0.000  0.500
Ag  0.000  0.500  0.000
Ag  0.500  0.000  0.000
S  0.500  0.500  0.500

Record 9
Computed, not measured: crystalline ReAgS2 at its relaxed geometry at the PBE level of DFT.

Properties
SG = Fm-3m, No. 225
raw formation energy = 0.508 eV per atom

Cell: 4.385 4.385 4.385 Å, 60.00 60.00 60.00°
Atoms (fractional coordinates):
Re  0.000  0.000  0.000
Ag  0.500  0.500  0.500
S  0.250  0.250  0.250
S  0.750  0.750  0.750

Record 10
Computed, not measured: crystalline Re3AgS at its relaxed geometry at the PBE level of DFT.

Properties
SG = Pm-3m, No. 221
raw formation energy = 3.421 eV per atom

Cell: 4.811 4.811 4.811 Å, 90.00 90.00 90.00°
Atoms (fractional coordinates):
Re  0.000  0.000  0.500
Re  0.000  0.500  0.000
Re  0.500  0.000  0.000
Ag  0.000  0.000  0.000
S  0.500  0.500  0.500

Record 11
Computed, not measured: crystalline ReAg3S at its relaxed geometry at the PBE level of DFT.

Properties
SG = Pm-3m, No. 221
raw formation energy = 1.342 eV per atom

Cell: 4.793 4.793 4.793 Å, 90.00 90.00 90.00°
Atoms (fractional coordinates):
Re  0.000  0.000  0.000
Ag  0.000  0.500  0.500
Ag  0.500  0.000  0.500
Ag  0.500  0.500  0.000
S  0.500  0.500  0.500

Record 12
Computed, not measured: crystalline Sc2ReAgS at its relaxed geometry at the PBE level of DFT.

Properties
SG = P4/mmm, No. 123
raw formation energy = -0.190 eV per atom

Cell: 4.844 4.844 4.283 Å, 90.00 90.00 90.00°
Atoms (fractional coordinates):
Sc  0.000  0.500  0.000
Sc  0.500  0.000  0.000
Re  0.000  0.000  0.500
Ag  0.500  0.500  0.500
S  0.000  0.000  0.000

Let's list total magnetic moment in order: 2.454, 2.147, 2.409, 0.000, 0.000, 0.000, 0.000, 0.000, 0.000, 4.190, 4.105, 0.000 μB per formula unit.